Record 1
TaVPt5 | PBE-GGA | relaxed

Geometry as POSCAR:
```
TaVPt5
1.0
-3.725 1.150 -3.038
0.048 -4.872 -0.828
-4.165 0.647 8.875
Ta V Pt
2 2 10
Direct
0.546 0.454 0.250
0.454 0.546 0.750
0.000 0.000 0.000
0.000 0.000 0.500
0.018 0.559 0.147
0.766 0.466 0.544
0.559 0.018 0.647
0.906 0.094 0.250
0.534 0.234 0.956
0.466 0.766 0.044
0.094 0.906 0.750
0.441 0.982 0.353
0.234 0.534 0.456
0.982 0.441 0.853
```

Values from the calculation:
energy of formation	-3.10	eV/f.u.
calculated density	17.9	Mg/m³
V	16.0	A^3/atom
D(E_F)	11.04	states/eV/cell

Record 2
MgTeRh3 | PBE-GGA | relaxed

Geometry as POSCAR:
```
MgTeRh3
1.0
4.818 0.000 0.000
0.000 4.818 0.000
0.000 0.000 4.818
Mg Te Rh
1 1 3
Direct
0.500 0.500 0.500
0.000 0.000 0.000
0.000 0.500 0.000
0.000 0.000 0.500
0.500 0.000 0.000
```

Values from the calculation:
formation energy without anion corrections	0.495	eV/atom
E above lowest polymorph	0.0	meV/atom
calculated density	6.8	Mg/m³
V	22.4	A^3/atom
D(E_F)	8.29	states/eV/cell

Record 3
BaZnGaPd | PBE-GGA | relaxed

Geometry as POSCAR:
```
BaZnGaPd
1.0
4.479 0.000 0.000
2.240 3.879 0.000
2.240 1.293 5.815
Ba Zn Ga Pd
1 1 1 1
Direct
0.811 0.811 0.567
0.001 0.001 0.996
0.291 0.291 0.127
0.622 0.622 0.133
```

Values from the calculation:
energy of formation	-2.00	eV/f.u.
calculated density	6.2	Mg/m³
V	25.3	A^3/atom
D(E_F)	2.59	states/eV/cell

Record 4
AcIn2SnPb | PBE-GGA | relaxed

Geometry as POSCAR:
```
AcIn2SnPb
1.0
4.587 0.000 0.000
-2.294 5.991 0.000
0.000 0.000 11.135
Ac In Sn Pb
2 4 2 2
Direct
0.585 0.169 0.750
0.415 0.831 0.250
0.281 0.563 0.912
0.719 0.437 0.088
0.281 0.563 0.588
0.719 0.437 0.412
0.867 0.735 0.750
0.133 0.265 0.250
0.000 0.000 0.000
0.000 0.000 0.500
```

Values from the calculation:
energy of formation	-1.39	eV/f.u.
calculated density	8.5	Mg/m³
V	30.6	A^3/atom
D(E_F)	4.68	states/eV/cell

Record 5
SbPd2RhI | PBE-GGA | relaxed

Geometry as POSCAR:
```
SbPd2RhI
1.0
-2.732 1.727 -3.608
0.120 -5.344 -2.649
-3.999 -1.286 2.413
I Sb Rh Pd
1 1 1 2
Direct
0.000 0.000 0.000
0.000 0.500 0.000
0.500 0.500 0.500
0.000 0.000 0.500
0.500 0.000 0.000
```

Values from the calculation:
formation energy without anion corrections	1.192	eV/atom
calculated density	6.7	Mg/m³
V	28.0	A^3/atom
D(E_F)	3.15	states/eV/cell